Computed, not measured: an optimized crystal structure of Rb2LiHfBr6 at the PBE-GGA level of DFT.

```
data_Rb2LiHfBr6
_symmetry_space_group_name_H-M 'R -3 m'
_symmetry_Int_Tables_number 166
_symmetry_space_group_name_Hall '-R 3 2"'
_cell_length_a 7.6985
_cell_length_b 7.6985
_cell_length_c 38.2320
_cell_angle_alpha 90.00
_cell_angle_beta 90.00
_cell_angle_gamma 120.00
loop_
_atom_site_label
_atom_site_type_symbol
_atom_site_fract_x
_atom_site_fract_y
_atom_site_fract_z
Rb1 Rb 0.0000 0.0000 0.1247
Rb2 Rb 0.0000 0.0000 0.2951
Li1 Li 0.0000 0.0000 0.4171
Hf1 Hf 0.0000 0.0000 0.0000
Hf2 Hf 0.0000 0.0000 0.5000
Br1 Br 0.0053 0.5026 0.7072
Br2 Br 0.0055 0.5028 0.1260
```

Results
- electronic total energy (eV/atom) = -3.865
- total moment (μB per formula unit) = 1.0
- Fermi-level density of states (states/eV per cell) = 30.5
- uncorrected formation energy (eV/atom) = -1.481